## ZnSi2Se (SCAN)

Data for ZnSi2Se at its PBEsol-relaxed geometry.

offset from the most stable computed form: 0 meV per atom
E_form (uncorrected): 0.39 eV/atom
calculated volume: 66.7 Å³/cell
total magnetic moment: 0.0 μB per formula unit

Cell lengths 2.6309, 3.6462, 6.9505 Å; angles 90.00, 90.00, 90.00 degrees
Closest atoms and distances in Å follow each position.
Space group Pmmm (No. 47)
Inequivalent atoms, fractional coordinates:
Zn (0.0000, 0.0000, 0.0000) x1  2 Zn 2.63, 8 Si 2.69
Si (0.5000, 0.5000, 0.2128) x2  2 Si 2.63, 4 Zn 2.69, 2 Se 2.70
Se (0.5000, 0.0000, 0.5000) x1  2 Se 2.63, 4 Si 2.70

***

## CaSi2Pt (SCAN)

Data for CaSi2Pt at its PBEsol-relaxed geometry.

E_form (uncorrected): -0.83 eV/atom
calculated volume: 149.1 Å³/cell
total magnetic moment: 0.0 μB per formula unit

Cell lengths 7.2076, 3.9597, 5.6617 Å; angles 90.00, 112.68, 90.00 degrees
Closest atoms and distances in Å follow each position.
Space group C2/m (No. 12)
Inequivalent atoms, fractional coordinates:
Ca (0.0000, 0.0000, 0.0000) x2  6 Si 3.00
Si (0.2177, 0.0000, 0.6424) x4  3 Pt 2.46, 2 Si 2.70
Pt (0.0000, 0.5000, 0.5000) x2  6 Si 2.46

***

## BaSr2CdBi (SCAN)

Data for BaSr2CdBi at its PBEsol-relaxed geometry.

calculated volume: 286.7 Å³/cell
total magnetic moment: 1.8 μB per formula unit
formation energy from the elements: 3.01 eV/f.u.

Cell lengths 6.8381, 6.8381, 6.1314 Å; angles 90.00, 90.00, 90.00 degrees
Closest atoms and distances in Å follow each position.
Space group P4/mmm (No. 123)
Inequivalent atoms, fractional coordinates:
Ba (0.0000, 0.0000, 0.0000) x1  2 Bi 3.07, 4 Sr 3.42
Sr (0.0000, 0.5000, 0.0000) x2  2 Ba 3.42
Cd (0.5000, 0.5000, 0.5000) x1  8 Sr 4.59, 4 Bi 4.84
Bi (0.0000, 0.0000, 0.5000) x1  2 Ba 3.07

***

## Sb2IF15 (SCAN)

Data for Sb2IF15 at its PBEsol-relaxed geometry.

E_form (uncorrected): -2.09 eV/atom
calculated volume: 1144.3 Å³/cell
total magnetic moment: 0.0 μB per formula unit

Cell lengths 8.5929, 14.5978, 9.8841 Å; angles 90.00, 112.64, 90.00 degrees
Closest atoms and distances in Å follow each position.
Space group P2_1/c (No. 14)
Inequivalent atoms, fractional coordinates:
Sb (0.0951, 0.2452, 0.1159) x4  6 F 1.86-2.06
Sb (0.2031, 0.5436, 0.3584) x4  6 F 1.87-2.05
I (0.2978, 0.6091, 0.7998) x4  4 F 1.84-1.89
F (0.0048, 0.6308, 0.3254) x4  2 Sb 2.05-2.06
F (0.0353, 0.0474, 0.8296) x4  1 Sb 1.90
F (0.0605, 0.7164, 0.5763) x4  1 Sb 1.90
F (0.0994, 0.6926, 0.8686) x4  1 Sb 1.96
F (0.1527, 0.5561, 0.1580) x4  1 Sb 1.87
F (0.1721, 0.1468, 0.5623) x4  1 Sb 1.86
F (0.2103, 0.2401, 0.8183) x4  1 Sb 1.87
F (0.2209, 0.5423, 0.5630) x4  1 Sb 1.97
F (0.2563, 0.5073, 0.9000) x4  1 I 1.89
F (0.2574, 0.1643, 0.1020) x4  1 Sb 1.87
F (0.3383, 0.6487, 0.4081) x4  1 Sb 1.87
F (0.3722, 0.0444, 0.8959) x4  1 Sb 1.87
F (0.4073, 0.7032, 0.7382) x4  1 I 1.89
F (0.4198, 0.6534, 0.9845) x4  1 I 1.84
F (0.4812, 0.5402, 0.8110) x4  1 I 1.84

***

## LiZnIr2 (SCAN)

Data for LiZnIr2 at its PBEsol-relaxed geometry.

calculated volume: 112.3 Å³/cell
total magnetic moment: 0.0 μB per formula unit
formation energy from the elements: 0.18 eV/f.u.

Cell lengths 2.7054, 4.6022, 9.0176 Å; angles 90.00, 90.00, 90.00 degrees
Closest atoms and distances in Å follow each position.
Space group Cmm2 (No. 35)
Inequivalent atoms, fractional coordinates:
Li (0.0000, 0.0000, 0.0000) x2  2 Ir 2.55, 6 Li 2.67-2.71, 2 Zn 2.69
Zn (0.0000, 0.5000, 0.2580) x2  2 Ir 2.60, 6 Zn 2.67-2.71, 2 Li 2.69
Ir (0.0000, 0.0000, 0.5040) x2  2 Zn 2.60, 8 Ir 2.67-2.71
Ir (0.0000, 0.5000, 0.7607) x2  2 Li 2.55, 8 Ir 2.67-2.71

***

## Zr2ReCl (SCAN)

Data for Zr2ReCl at its PBEsol-relaxed geometry.

offset from the most stable computed form: 299 meV per atom
E_form (uncorrected): -0.17 eV/atom
calculated volume: 71.1 Å³/cell
total magnetic moment: 0.0 μB per formula unit

Cell lengths 3.0948, 4.6090, 4.9834 Å; angles 90.00, 90.00, 90.00 degrees
Closest atoms and distances in Å follow each position.
Space group Pmmm (No. 47)
Inequivalent atoms, fractional coordinates:
Zr (0.0000, 0.0000, 0.0000) x1  4 Cl 2.78, 4 Re 2.93, 2 Zr 3.09
Zr (0.0000, 0.5000, 0.5000) x1  4 Re 2.78, 4 Cl 2.93, 2 Zr 3.09
Re (0.5000, 0.0000, 0.5000) x1  8 Zr 2.78-2.93, 2 Re 3.09
Cl (0.5000, 0.5000, 0.0000) x1  8 Zr 2.78-2.93, 2 Cl 3.09

***

## CaLuRh2 (SCAN)

Data for CaLuRh2 at its PBEsol-relaxed geometry.

calculated volume: 290.3 Å³/cell
total magnetic moment: 0.0 μB per formula unit
formation energy from the elements: -3.00 eV/f.u.

Cell lengths 6.6217, 6.6217, 6.6217 Å; angles 90.00, 90.00, 90.00 degrees
Closest atoms and distances in Å follow each position.
Space group Fm-3m (No. 225)
Inequivalent atoms, fractional coordinates:
Ca (0.0000, 0.0000, 0.0000) x4  8 Rh 2.87
Lu (0.0000, 0.0000, 0.5000) x4  8 Rh 2.87
Rh (0.2500, 0.2500, 0.2500) x8  4 Ca 2.87, 4 Lu 2.87

***

## ScH3Pd (SCAN)

Data for ScH3Pd at its PBEsol-relaxed geometry.

calculated volume: 47.7 Å³/cell
electronic total energy: -11.521 eV per atom
total magnetic moment: 0.0 μB per formula unit

Cell lengths 3.6266, 3.6266, 3.6266 Å; angles 90.00, 90.00, 90.00 degrees
Closest atoms and distances in Å follow each position.
Space group Pm-3m (No. 221)
Inequivalent atoms, fractional coordinates:
Sc (0.0000, 0.0000, 0.0000) x1  6 H 1.81
H (0.0000, 0.0000, 0.5000) x3  2 Sc 1.81
Pd (0.5000, 0.5000, 0.5000) x1  12 H 2.56

***

## Al6Tc (SCAN)

Data for Al6Tc at its PBEsol-relaxed geometry.

calculated volume: 445.3 Å³/cell
total magnetic moment: 0.0 μB per formula unit
formation energy from the elements: -2.22 eV/f.u.

Cell lengths 7.5753, 6.5478, 8.9776 Å; angles 90.00, 90.00, 90.00 degrees
Closest atoms and distances in Å follow each position.
Space group Cmcm (No. 63)
Inequivalent atoms, fractional coordinates:
Al (0.0000, 0.1347, 0.1002) x8  1 Tc 2.50, 4 Al 2.52-2.76
Al (0.1757, 0.5000, 0.0000) x8  2 Tc 2.62, 7 Al 2.66-2.88
Al (0.1811, 0.2089, 0.7500) x8  2 Tc 2.58-2.65, 3 Al 2.74-2.84
Tc (0.0000, 0.4567, 0.2500) x4  10 Al 2.50-2.65

***

## MgHN2O (SCAN)

Data for MgHN2O at its PBEsol-relaxed geometry.

calculated volume: 44.5 Å³/cell
electronic total energy: -6.007 eV per atom
total magnetic moment: 0.6 μB per formula unit

Cell lengths 2.7902, 2.7902, 5.7171 Å; angles 90.00, 90.00, 90.00 degrees
Closest atoms and distances in Å follow each position.
Space group P4/mmm (No. 123)
Inequivalent atoms, fractional coordinates:
Mg (0.0000, 0.0000, 0.0000) x1  4 O 1.97
H (0.5000, 0.5000, 0.5000) x1  4 N 1.40
N (0.0000, 0.5000, 0.5000) x2  2 H 1.40
O (0.5000, 0.5000, 0.0000) x1  4 Mg 1.97

***

## Sc2AgRu (SCAN)

Data for Sc2AgRu at its PBEsol-relaxed geometry.

calculated volume: 276.5 Å³/cell
total magnetic moment: 0.0 μB per formula unit
formation energy from the elements: -2.13 eV/f.u.

Cell lengths 6.5150, 6.5150, 6.5150 Å; angles 90.00, 90.00, 90.00 degrees
Closest atoms and distances in Å follow each position.
Space group Fm-3m (No. 225)
Inequivalent atoms, fractional coordinates:
Sc (0.2500, 0.2500, 0.2500) x8  4 Ru 2.82, 4 Ag 2.82
Ag (0.0000, 0.0000, 0.0000) x4  8 Sc 2.82
Ru (0.0000, 0.0000, 0.5000) x4  8 Sc 2.82

***

## In2FeH (SCAN)

Data for In2FeH at its PBEsol-relaxed geometry.

calculated volume: 248.9 Å³/cell
electronic total energy: -21.488 eV per atom
total magnetic moment: 2.7 μB per formula unit

Cell lengths 6.2902, 6.2902, 6.2902 Å; angles 90.00, 90.00, 90.00 degrees
Closest atoms and distances in Å follow each position.
Space group Fm-3m (No. 225)
Inequivalent atoms, fractional coordinates:
In (0.2500, 0.2500, 0.2500) x8  4 Fe 2.72, 4 H 2.72
Fe (0.0000, 0.0000, 0.0000) x4  8 In 2.72
H (0.0000, 0.0000, 0.5000) x4  8 In 2.72